(1)
Material: CaHfBiOs
Method: DFT, PBE
State: relaxed

Cell lengths 3.330, 4.391, 13.620 Å; angles 90.00, 90.00, 90.00 degrees
Fractional coordinates of all 8 atoms:
Ca 0.000 0.000 0.000
Ca 0.500 0.500 0.500
Hf 0.000 0.500 0.200
Hf 0.500 0.000 0.700
Bi 0.000 0.000 0.365
Bi 0.500 0.500 0.865
Os 0.000 0.500 0.693
Os 0.500 0.000 0.193

Summary:
Its density of states at the Fermi level is 5.80 states/eV/cell. The calculation puts the distance to the lowest polymorph of the same formula at 236 meV/atom. Its formation energy is -0.076 eV/atom. The calculated density is 10.3 g/cm3. The space group is Imm2.

***

(2)
Material: CaHfBiOs
Method: DFT, PBE
State: relaxed

Cell lengths 4.618, 4.618, 16.814 Å; angles 90.00, 90.00, 120.00 degrees
Fractional coordinates of all 12 atoms:
Ca 0.000 0.000 0.000
Ca 0.333 0.667 0.667
Ca 0.667 0.333 0.333
Hf 0.000 0.000 0.204
Hf 0.333 0.667 0.871
Hf 0.667 0.333 0.538
Bi 0.000 0.000 0.437
Bi 0.333 0.667 0.104
Bi 0.667 0.333 0.771
Os 0.000 0.000 0.827
Os 0.333 0.667 0.494
Os 0.667 0.333 0.160

Summary:
Its density of states at the Fermi level is 15.96 states/eV/cell. The calculation puts the distance to the lowest polymorph of the same formula at 337 meV/atom. Its formation energy is 0.025 eV/atom. The calculated density is 9.9 g/cm3. The space group is R3m.

***

(3)
Material: CaHfBiOs
Method: DFT, PBE
State: relaxed

Cell lengths 3.343, 5.121, 5.950 Å; angles 104.96, 90.09, 90.05 degrees
Fractional coordinates of all 4 atoms:
Ca 0.000 0.000 0.000
Hf 0.001 0.610 0.378
Bi 0.501 0.169 0.563
Os 0.500 0.522 0.042

Summary:
Its density of states at the Fermi level is 1.68 states/eV/cell. The calculation puts the distance to the lowest polymorph of the same formula at 323 meV/atom. Its formation energy is 0.011 eV/atom. The calculated density is 10.4 g/cm3. The space group is P1.

***

(4)
Material: CaHfBiOs
Method: DFT, PBE
State: relaxed

Cell lengths 3.318, 5.031, 11.582 Å; angles 90.00, 90.00, 90.00 degrees
Fractional coordinates of all 8 atoms:
Ca 0.000 0.000 0.000
Ca 0.500 0.500 0.500
Hf 0.000 0.500 0.192
Hf 0.500 0.000 0.692
Bi 0.000 0.500 0.794
Bi 0.500 0.000 0.294
Os 0.000 0.000 0.521
Os 0.500 0.500 0.021

Summary:
Its density of states at the Fermi level is 3.99 states/eV/cell. The calculation puts the distance to the lowest polymorph of the same formula at 300 meV/atom. Its formation energy is -0.012 eV/atom. The calculated density is 10.6 g/cm3. The space group is Imm2.

***

(5)
Material: CaHfBiOs
Method: DFT, PBE
State: relaxed

Cell lengths 4.598, 4.598, 16.363 Å; angles 90.00, 90.00, 120.00 degrees
Fractional coordinates of all 12 atoms:
Ca 0.000 0.000 0.000
Ca 0.333 0.667 0.667
Ca 0.667 0.333 0.333
Hf 0.000 0.000 0.451
Hf 0.333 0.667 0.117
Hf 0.667 0.333 0.784
Bi 0.000 0.000 0.219
Bi 0.333 0.667 0.886
Bi 0.667 0.333 0.552
Os 0.000 0.000 0.800
Os 0.333 0.667 0.466
Os 0.667 0.333 0.133

Summary:
Its density of states at the Fermi level is 13.02 states/eV/cell. The calculation puts the distance to the lowest polymorph of the same formula at 240 meV/atom. Its formation energy is -0.072 eV/atom. The calculated density is 10.3 g/cm3. The space group is R3m.

***

(6)
Material: CaHfBiOs
Method: DFT, PBE
State: relaxed

Cell lengths 9.135, 3.400, 7.188 Å; angles 90.00, 109.42, 90.00 degrees
Fractional coordinates of all 8 atoms:
Ca 0.000 0.000 0.000
Ca 0.500 0.500 0.000
Hf 0.096 0.500 0.584
Hf 0.596 0.000 0.584
Bi 0.306 0.500 0.319
Bi 0.806 0.000 0.319
Os 0.326 0.000 0.655
Os 0.826 0.500 0.655

Summary:
Its density of states at the Fermi level is 5.26 states/eV/cell. The calculation puts the distance to the lowest polymorph of the same formula at 300 meV/atom. Its formation energy is -0.013 eV/atom. The calculated density is 9.7 g/cm3. The space group is Cm.

***

(7)
Material: Ca2HfPaBi4
Method: DFT, PBE
State: relaxed

Cell lengths 7.625, 4.435, 7.935 Å; angles 90.00, 108.74, 90.00 degrees
Fractional coordinates of all 8 atoms:
Ca 0.000 0.000 0.000
Ca 0.500 0.500 0.000
Hf 0.000 0.500 0.500
Pa 0.500 0.000 0.500
Bi 0.234 0.000 0.730
Bi 0.244 0.500 0.263
Bi 0.756 0.500 0.737
Bi 0.766 0.000 0.270

Summary:
Its density of states at the Fermi level is 6.13 states/eV/cell. Its formation energy is -0.445 eV/atom. The calculated density is 8.7 g/cm3. The space group is P2/m.

***

(8)
Material: CaHfBi2Pb
Method: DFT, PBE
State: relaxed

Cell lengths 5.988, 5.988, 5.447 Å; angles 90.00, 90.00, 90.00 degrees
Fractional coordinates of all 5 atoms:
Ca 0.000 0.000 0.000
Hf 0.500 0.500 0.000
Bi 0.000 0.500 0.500
Bi 0.500 0.000 0.500
Pb 0.500 0.500 0.500

Summary:
Its density of states at the Fermi level is 4.24 states/eV/cell. Its formation energy is 0.686 eV/atom. The calculated density is 7.2 g/cm3. The space group is P4/mmm.